Compound: Dy5Cd2Sb
Source: Alexandria
Functional: PBE
Structure: relaxed

```
16
Lattice="-4.169 4.169 6.431 4.169 -4.169 6.431 4.169 4.169 -6.431" Properties=species:S:1:pos:R:3 pbc="T T T"
Dy 0.000 0.000 0.000
Dy 5.460 1.291 -1.937
Dy 1.291 2.878 -1.937
Dy 5.460 1.291 1.937
Dy 1.291 2.878 1.937
Dy 0.000 0.000 6.431
Dy 2.878 1.291 4.494
Dy -1.291 2.878 4.494
Dy 2.878 1.291 8.368
Dy -1.291 2.878 8.368
Cd 3.021 1.148 0.000
Cd 3.021 -1.148 6.431
Cd 1.148 5.317 0.000
Cd 1.148 3.021 6.431
Sb 0.000 0.000 3.216
Sb 0.000 0.000 9.647
```

Formation energy without anion corrections ... -0.422 eV/atom
Symmetry ... I4/mcm

=====

Compound: LaNiGe2
Source: Alexandria
Functional: PBE
Structure: relaxed

```
4
Lattice="2.046 1.181 5.458 -2.046 1.181 5.458 0.000 -2.363 5.458" Properties=species:S:1:pos:R:3 pbc="T T T"
La 0.000 0.000 0.000
Ni 0.000 0.000 8.187
Ge 0.000 0.000 3.492
Ge 0.000 0.000 12.882
```

Formation enthalpy at 0 K ... -697 meV/atom
Symmetry ... R-3m

=====

Compound: Ba8NiAu3
Source: Alexandria
Functional: PBE
Structure: relaxed

```
12
Lattice="4.642 -6.751 0.000 4.642 6.751 0.000 0.000 0.000 9.408" Properties=species:S:1:pos:R:3 pbc="T T T"
Ba 2.179 0.082 2.242
Ba 4.642 3.623 0.000
Ba 2.179 -0.082 7.166
Ba 4.642 3.457 4.704
Ba 4.642 -3.457 4.704
Ba 7.105 0.082 7.166
Ba 4.642 -3.623 0.000
Ba 7.105 -0.082 2.242
Ni 0.000 0.000 0.000
Au 0.000 0.000 4.704
Au 2.321 3.375 2.352
Au 2.321 -3.375 7.057
```

Formation enthalpy at 0 K ... -379 meV/atom
Symmetry ... C222

=====

Compound: HoInSb2O8
Source: Alexandria
Functional: PBE
Structure: relaxed

```
12
Lattice="-2.593 2.593 5.570 2.593 -2.593 5.570 2.593 2.593 -5.570" Properties=species:S:1:pos:R:3 pbc="T T T"
Ho 0.000 0.000 0.000
In 2.593 0.000 2.785
Sb 0.000 0.000 5.570
Sb 0.000 2.593 2.785
O 1.253 1.007 -1.802
O 1.300 -1.004 4.561
O 1.588 1.293 1.008
O 1.586 -1.340 7.371
O 1.293 3.597 -1.008
O 1.340 1.586 3.768
O 1.004 1.300 6.578
O 1.007 3.932 1.802
```

Formation energy without anion corrections ... -1.851 eV/atom
Symmetry ... I-4

=====

Compound: HfTi2NbO
Source: Alexandria
Functional: PBE
Structure: relaxed

```
5
Lattice="4.166 0.000 0.000 0.000 4.166 0.000 0.000 0.000 4.496" Properties=species:S:1:pos:R:3 pbc="T T T"
Hf 0.000 0.000 0.000
Ti 0.000 2.083 2.248
Ti 2.083 0.000 2.248
Nb 2.083 2.083 0.000
O 0.000 0.000 2.248
```

Formation energy without anion corrections ... -1.051 eV/atom
Symmetry ... P4/mmm
Energy above the lowest structure with this stoichiometry ... 0.0 meV per atom

=====

Compound: KScC
Source: Alexandria
Functional: PBE
Structure: relaxed

```
12
Lattice="9.540 0.000 0.000 0.000 6.677 0.000 0.000 0.000 7.056" Properties=species:S:1:pos:R:3 pbc="T T T"
K 1.279 1.669 0.242
K 3.492 5.008 3.771
K 6.049 1.669 3.286
K 8.262 5.008 6.814
Sc 0.000 0.000 3.528
Sc 0.000 3.339 3.528
Sc 4.770 0.000 0.000
Sc 4.770 3.339 0.000
C 0.619 5.008 4.545
C 4.151 1.669 1.017
C 5.389 5.008 6.039
C 8.921 1.669 2.511
```

Formation enthalpy at 0 K ... 997 meV/atom
Symmetry ... Pnma
Energy above the lowest structure with this stoichiometry ... 1036.0 meV per atom

=====

Compound: RbCaCl3
Source: Alexandria
Functional: PBE
Structure: relaxed

```
10
Lattice="5.013 0.000 0.000 -2.506 4.341 0.000 0.000 0.000 16.293" Properties=species:S:1:pos:R:3 pbc="T T T"
Rb 0.000 2.894 4.073
Rb 2.506 1.447 12.220
Ca 0.000 0.000 0.000
Ca 0.000 0.000 8.147
Cl 0.000 0.000 4.073
Cl 0.000 0.000 12.220
Cl 0.000 2.894 0.842
Cl 0.000 2.894 7.305
Cl 2.506 1.447 8.989
Cl 2.506 1.447 15.451
```

Formation energy without anion corrections ... -1.962 eV/atom
Symmetry ... P6_3/mmc

=====

Compound: DyTlHg
Source: Alexandria
Functional: PBE
Structure: relaxed

```
3
Lattice="-1.835 1.835 5.864 1.835 -1.835 5.864 1.835 1.835 -5.864" Properties=species:S:1:pos:R:3 pbc="T T T"
Dy 0.000 0.000 0.000
Tl 0.000 0.000 7.956
Hg 0.000 0.000 4.046
```

Formation enthalpy at 0 K ... -246 meV/atom
Symmetry ... I4mm

=====

Result set for final energy: -4.0426, -5.6830, -2.9619, -6.4534, -9.2053, -4.5535, -3.6641, -2.6697 eV/atom, one per record in the order listed.